1.
Entry from Alexandria: a crystal of Li7BiB2O8 relaxed with PBEsol (SCAN).

Calculated values
Uncorrected energy in eV for the cell shown: -794.97
DOS(E_F) in states/eV/cell: 0.000

Unit cell a=14.547 b=6.300 c=7.428 alpha=90.00 beta=91.65 gamma=90.00
Space group C2/m (No. 12)
One atom of each set of equivalent atoms:
Li1 0.000 0.000 0.000 [2 per cell]
Li2 0.000 0.500 0.000 [2 per cell]
Li3 0.068 0.245 0.371 [8 per cell]
Li4 0.075 0.500 0.723 [4 per cell]
Li5 0.144 0.000 0.152 [4 per cell]
Li6 0.182 0.250 0.875 [8 per cell]
Bi1 0.232 0.000 0.559 [4 per cell]
B1 0.071 0.000 0.734 [4 per cell]
B2 0.139 0.500 0.157 [4 per cell]
O1 0.026 0.000 0.259 [4 per cell]
O2 0.050 0.500 0.245 [4 per cell]
O3 0.111 0.196 0.628 [8 per cell]
O4 0.119 0.000 0.910 [4 per cell]
O5 0.133 0.500 0.964 [4 per cell]
O6 0.196 0.304 0.231 [8 per cell]



2.
Entry from Alexandria: a crystal of LiBi2BO5 relaxed with PBEsol (SCAN).

Calculated values
Uncorrected energy in eV for the cell shown: -853.96
DOS(E_F) in states/eV/cell: 0.000

Unit cell a=5.732 b=6.761 c=11.269 alpha=90.00 beta=90.00 gamma=90.00
Space group Pnma (No. 62)
One atom of each set of equivalent atoms:
Li1 0.231 0.250 0.153 [4 per cell]
Bi1 0.235 0.501 0.395 [8 per cell]
B1 0.225 0.750 0.133 [4 per cell]
O1 0.006 0.750 0.546 [4 per cell]
O2 0.104 0.750 0.806 [4 per cell]
O3 0.117 0.250 0.723 [4 per cell]
O4 0.142 0.571 0.084 [8 per cell]



3.
Entry from Alexandria: a crystal of Li3Bi2B3O9 relaxed with PBEsol (SCAN).

Calculated values
Uncorrected energy in eV for the cell shown: -1115.90
DOS(E_F) in states/eV/cell: 0.000

Unit cell a=5.777 b=13.934 c=9.455 alpha=90.00 beta=112.83 gamma=90.00
Space group P2_1/c (No. 14)
One atom of each set of equivalent atoms:
Li1 0.030 0.124 0.214 [4 per cell]
Li2 0.434 0.664 0.510 [4 per cell]
Li3 0.440 0.213 0.211 [4 per cell]
Bi1 0.044 0.656 0.676 [4 per cell]
Bi2 0.340 0.009 0.645 [4 per cell]
B1 0.115 0.681 0.015 [4 per cell]
B2 0.267 0.016 0.020 [4 per cell]
B3 0.380 0.163 0.464 [4 per cell]
O1 0.046 0.600 0.922 [4 per cell]
O2 0.104 0.729 0.453 [4 per cell]
O3 0.134 0.501 0.365 [4 per cell]
O4 0.202 0.669 0.173 [4 per cell]
O5 0.309 0.110 0.068 [4 per cell]
O6 0.320 0.241 0.368 [4 per cell]
O7 0.332 0.070 0.401 [4 per cell]
O8 0.353 0.560 0.621 [4 per cell]
O9 0.476 0.167 0.622 [4 per cell]



4.
Entry from Alexandria: a crystal of Li3BiB2O6 relaxed with PBEsol (SCAN).

Calculated values
Uncorrected energy in eV for the cell shown: -658.62
DOS(E_F) in states/eV/cell: 0.000
Energy above the lowest structure with this stoichiometry in meV per atom: 0.0

Unit cell a=5.127 b=8.917 c=11.391 alpha=90.00 beta=112.78 gamma=90.00
Space group P2_1/c (No. 14)
One atom of each set of equivalent atoms:
Li1 0.099 0.029 0.293 [4 per cell]
Li2 0.179 0.176 0.854 [4 per cell]
Li3 0.264 0.003 0.077 [4 per cell]
Bi1 0.297 0.118 0.593 [4 per cell]
B1 0.213 0.680 0.386 [4 per cell]
B2 0.368 0.706 0.149 [4 per cell]
O1 0.066 0.553 0.389 [4 per cell]
O2 0.085 0.679 0.848 [4 per cell]
O3 0.095 0.662 0.126 [4 per cell]
O4 0.449 0.110 0.377 [4 per cell]
O5 0.471 0.651 0.693 [4 per cell]
O6 0.493 0.168 0.076 [4 per cell]



5.
Entry from Alexandria: a crystal of LiBi4B3O11 relaxed with PBEsol (SCAN).

Calculated values
Uncorrected energy in eV for the cell shown: -1767.15
DOS(E_F) in states/eV/cell: 0.000

Unit cell a=9.047 b=9.067 c=12.238 alpha=90.00 beta=101.27 gamma=90.00
Space group C2/c (No. 15)
One atom of each set of equivalent atoms:
Li1 0.000 0.105 0.250 [4 per cell]
Bi1 0.106 0.300 0.572 [8 per cell]
Bi2 0.232 0.169 0.829 [8 per cell]
B1 0.000 0.480 0.750 [4 per cell]
B2 0.155 0.006 0.075 [8 per cell]
O1 0.000 0.325 0.750 [4 per cell]
O2 0.049 0.452 0.162 [8 per cell]
O3 0.084 0.057 0.655 [8 per cell]
O4 0.162 0.154 0.054 [8 per cell]
O5 0.204 0.197 0.296 [8 per cell]
O6 0.211 0.096 0.507 [8 per cell]



6.
Entry from Alexandria: a crystal of LiBiB2O5 relaxed with PBEsol (SCAN).

Calculated values
Uncorrected energy in eV for the cell shown: -1172.46
DOS(E_F) in states/eV/cell: 0.000
Energy above the lowest structure with this stoichiometry in meV per atom: 0.0

Unit cell a=13.281 b=4.361 c=11.436 alpha=90.00 beta=90.00 gamma=90.00
Space group Pna2_1 (No. 33)
One atom of each set of equivalent atoms:
Li1 0.098 0.224 0.000 [4 per cell]
Li2 0.151 0.776 0.830 [4 per cell]
Bi1 0.021 0.328 0.733 [4 per cell]
Bi2 0.227 0.723 0.096 [4 per cell]
B1 0.017 0.302 0.466 [4 per cell]
B2 0.108 0.795 0.546 [4 per cell]
B3 0.141 0.217 0.288 [4 per cell]
B4 0.234 0.713 0.367 [4 per cell]
O1 0.033 0.632 0.480 [4 per cell]
O2 0.035 0.232 0.341 [4 per cell]
O3 0.082 0.132 0.547 [4 per cell]
O4 0.090 0.778 0.991 [4 per cell]
O5 0.119 0.700 0.667 [4 per cell]
O6 0.129 0.331 0.167 [4 per cell]
O7 0.159 0.274 0.843 [4 per cell]
O8 0.167 0.885 0.285 [4 per cell]
O9 0.214 0.786 0.492 [4 per cell]
O10 0.215 0.382 0.356 [4 per cell]



7.
Entry from Alexandria: a crystal of Li2Bi2B2O7 relaxed with PBEsol (SCAN).

Calculated values
Uncorrected energy in eV for the cell shown: -1476.95
DOS(E_F) in states/eV/cell: 0.000
Energy above the lowest structure with this stoichiometry in meV per atom: 0.0

Unit cell a=14.402 b=8.551 c=7.670 alpha=90.00 beta=90.88 gamma=90.00
Space group C2 (No. 5)
One atom of each set of equivalent atoms:
Li1 0.017 0.000 0.252 [4 per cell]
Li2 0.164 0.484 0.807 [4 per cell]
Li3 0.172 0.495 0.265 [4 per cell]
Bi1 0.000 0.291 0.500 [2 per cell]
Bi2 0.000 0.396 0.000 [2 per cell]
Bi3 0.136 0.866 0.534 [4 per cell]
Bi4 0.156 0.790 0.995 [4 per cell]
B1 0.008 0.640 0.306 [4 per cell]
B2 0.153 0.155 0.815 [4 per cell]
B3 0.188 0.165 0.286 [4 per cell]
O1 0.000 0.989 0.500 [2 per cell]
O2 0.034 0.495 0.713 [4 per cell]
O3 0.035 0.777 0.758 [4 per cell]
O4 0.059 0.177 0.786 [4 per cell]
O5 0.094 0.651 0.389 [4 per cell]
O6 0.117 0.550 0.043 [4 per cell]
O7 0.145 0.290 0.363 [4 per cell]
O8 0.148 0.018 0.264 [4 per cell]
O9 0.194 0.012 0.781 [4 per cell]
O10 0.206 0.280 0.874 [4 per cell]
O11 0.219 0.683 0.763 [4 per cell]



8.
Entry from Alexandria: a crystal of Li2BiBO4 relaxed with PBEsol (SCAN).

Calculated values
Uncorrected energy in eV for the cell shown: -526.75
DOS(E_F) in states/eV/cell: 0.000
Energy above the lowest structure with this stoichiometry in meV per atom: 25.2

Unit cell a=9.983 b=6.796 c=4.769 alpha=90.00 beta=90.00 gamma=90.00
Space group Pnma (No. 62)
One atom of each set of equivalent atoms:
Li1 0.156 0.002 0.223 [8 per cell]
Bi1 0.109 0.750 0.730 [4 per cell]
B1 0.099 0.250 0.734 [4 per cell]
O1 0.050 0.750 0.190 [4 per cell]
O2 0.102 0.250 0.411 [4 per cell]
O3 0.166 0.074 0.840 [8 per cell]



9.
Entry from Alexandria: a crystal of LiBiB2O5 relaxed with PBEsol (SCAN).

Calculated values
Uncorrected energy in eV for the cell shown: -292.81
DOS(E_F) in states/eV/cell: 0.000
Energy above the lowest structure with this stoichiometry in meV per atom: 16.9

Unit cell a=6.144 b=8.893 c=3.744 alpha=90.00 beta=94.74 gamma=90.00
Space group C2 (No. 5)
One atom of each set of equivalent atoms:
Li1 0.000 0.000 0.000 [2 per cell]
Bi1 0.000 0.648 0.500 [2 per cell]
B1 0.182 0.291 0.891 [4 per cell]
O1 0.000 0.367 0.000 [2 per cell]
O2 0.180 0.858 0.328 [4 per cell]
O3 0.233 0.147 0.005 [4 per cell]



Copy entry 6 word for word.
Entry from Alexandria: a crystal of LiBiB2O5 relaxed with PBEsol (SCAN).

Calculated values
Uncorrected energy in eV for the cell shown: -1172.46
DOS(E_F) in states/eV/cell: 0.000
Energy above the lowest structure with this stoichiometry in meV per atom: 0.0

Unit cell a=13.281 b=4.361 c=11.436 alpha=90.00 beta=90.00 gamma=90.00
Space group Pna2_1 (No. 33)
One atom of each set of equivalent atoms:
Li1 0.098 0.224 0.000 [4 per cell]
Li2 0.151 0.776 0.830 [4 per cell]
Bi1 0.021 0.328 0.733 [4 per cell]
Bi2 0.227 0.723 0.096 [4 per cell]
B1 0.017 0.302 0.466 [4 per cell]
B2 0.108 0.795 0.546 [4 per cell]
B3 0.141 0.217 0.288 [4 per cell]
B4 0.234 0.713 0.367 [4 per cell]
O1 0.033 0.632 0.480 [4 per cell]
O2 0.035 0.232 0.341 [4 per cell]
O3 0.082 0.132 0.547 [4 per cell]
O4 0.090 0.778 0.991 [4 per cell]
O5 0.119 0.700 0.667 [4 per cell]
O6 0.129 0.331 0.167 [4 per cell]
O7 0.159 0.274 0.843 [4 per cell]
O8 0.167 0.885 0.285 [4 per cell]
O9 0.214 0.786 0.492 [4 per cell]
O10 0.215 0.382 0.356 [4 per cell]